Here is LaCdCl2 after structural relaxation from Alexandria. Energies are from GGA-PBEsol.

Cell: 6.8605 9.4146 3.6371 Å, 90.00 121.02 90.00°
Closest atoms and distances in Å follow each position.
Space group C2/m (No. 12)
Symmetry-distinct sites (fractional):
1 La 0.0000 0.0000 0.0000 x2  4 Cl 2.91
2 Cd 0.0000 0.5000 0.0000 x2  4 Cl 2.91
3 Cl 0.2500 0.2500 0.0000 x4  2 La 2.91, 2 Cd 2.91

Properties
- Total moment: 0.000 μB/atom
- Formation energy without anion corrections: -1.16 eV/atom
- Raw total energy: -0.2791 Ry per atom
- N(E_F): 0.39 states/eV per atom
- V: 201.3 Å³ per cell

=====

Here is Mg5In after structural relaxation from Alexandria. Energies are from GGA-PBEsol.

Cell: 5.2411 3.1379 16.3943 Å, 90.00 90.00 90.00°
Closest atoms and distances in Å follow each position.
Space group Amm2 (No. 38)
Symmetry-distinct sites (fractional):
1 Mg 0.0000 0.0000 0.0000 x2  12 Mg 3.14-3.19
2 Mg 0.0000 0.0000 0.3322 x2  8 Mg 3.14-3.19, 4 In 3.19
3 Mg 0.0000 0.0000 0.6662 x2  10 Mg 3.14-3.19, 2 In 3.18
4 Mg 0.5000 0.0000 0.1105 x2  2 In 3.13, 10 Mg 3.14-3.19
5 Mg 0.5000 0.0000 0.4430 x2  10 Mg 3.14-3.19, 2 In 3.16
6 In 0.5000 0.0000 0.7760 x2  10 Mg 3.13-3.19, 2 In 3.14

Properties
- Energy of formation: -0.044 eV per atom
- Total moment: 0.000 μB/atom
- Raw total energy: -0.1450 Ry per atom
- N(E_F): 0.44 states/eV per atom
- V: 269.6 Å³ per cell

=====

Here is BaInSb2 after structural relaxation from Alexandria. Energies are from GGA-PBEsol.

Cell: 10.5527 4.2772 5.8836 Å, 90.00 107.54 90.00°
Closest atoms and distances in Å follow each position.
Space group Cm (No. 8)
Symmetry-distinct sites (fractional):
1 Ba 0.0000 0.0000 0.0000 x2  3 In 3.49-3.54, 8 Sb 3.60-3.88
2 In 0.2360 0.0000 0.6929 x2  5 Sb 3.05-3.37
3 Sb 0.0040 0.5000 0.4951 x2  3 Sb 3.18, 3 In 3.19-3.37
4 Sb 0.2699 0.5000 0.3463 x2  2 In 3.05, 3 Sb 3.18

Properties
- Total moment: 0.000 μB/atom
- Formation energy without anion corrections: -0.48 eV/atom
- Raw total energy: -0.2968 Ry per atom
- N(E_F): 0.42 states/eV per atom
- V: 253.2 Å³ per cell

=====

Which value of total moment does entry 1 give? 0.000 μB/atom